No. 1
The following is a PBE-GGA calculation of a relaxed structure of YSi4Rh, from the Alexandria database.

Structure (POSCAR):
```
YSi4Rh
1.0
0.544 -4.632 2.153
-4.152 -2.728 1.309
-1.237 -4.225 -2.648
Y Si Rh
1 4 1
direct
0.250 0.250 0.250 Y
0.626 0.626 0.122 Si
0.626 0.122 0.626 Si
0.626 0.626 0.626 Si
0.122 0.626 0.626 Si
0.000 0.000 0.000 Rh
```

* formation energy without anion corrections: -49 meV per atom
* final energy: -35.80 eV per cell
* V: 95.9 Å³/cell

No. 2
The following is a PBE-GGA calculation of a relaxed structure of CaYSi2Pd5, from the Alexandria database.

Structure (POSCAR):
```
CaYSi2Pd5
1.0
-3.137 1.167 2.537
0.931 -3.160 2.604
5.586 5.321 4.461
Ca Y Si Pd
1 1 2 5
direct
0.000 0.000 0.500 Ca
0.000 0.000 0.000 Y
0.500 0.500 0.133 Si
0.500 0.500 0.867 Si
0.000 0.500 0.264 Pd
0.500 0.000 0.264 Pd
0.000 0.500 0.736 Pd
0.500 0.000 0.736 Pd
0.500 0.500 0.500 Pd
```

* formation energy without anion corrections: -830 meV per atom
* final energy: -52.75 eV per cell
* V: 157.2 Å³/cell